VASP calculation (PBE) on an optimized crystal structure of TmAlTc.

a b c (Å): 3.610 4.343 4.343
angles (deg): 120.00 90.00 90.00
Fractional positions:
Tm  0.667  0.667  0.333
Tc  0.167  0.333  0.667
Al  0.167  0.000  0.000

Summary:
Total moment ... 0.00 μB per formula unit
Formation energy ... -0.19 eV/atom
Offset from the most stable computed form ... 0.2741 eV per atom